[1]
A plane-wave DFT calculation with PBE was carried out for a relaxed KLiGa2Se4 crystal.

```
data_KLiGa2Se4
_chemical_formula_sum 'K2 Li2 Ga4 Se8'
_space_group_name_H-M_alt 'I 2 2 2'
_space_group_IT_number 23
_cell_length_a 6.6153
_cell_length_b 8.1822
_cell_length_c 8.9197
_cell_angle_alpha 90.00
_cell_angle_beta 90.00
_cell_angle_gamma 90.00
loop_
_space_group_symop_operation_xyz
'x,y,z'
'-x,-y,z'
'x,-y,-z'
'-x,y,-z'
'x+1/2,y+1/2,z+1/2'
'-x+1/2,-y+1/2,z+1/2'
'x+1/2,-y+1/2,-z+1/2'
'-x+1/2,y+1/2,-z+1/2'
loop_
_atom_site_label
_atom_site_type_symbol
_atom_site_fract_x
_atom_site_fract_y
_atom_site_fract_z
K1 K 0.0000 0.0000 0.0000
Li1 Li 0.0000 0.0000 0.5000
Ga1 Ga 0.0000 0.5000 0.1757
Se1 Se 0.2353 0.1718 0.3202
```

Values from the calculation:
Energy relative to the elements, uncorrected, eV/f.u.: -5.10
Total magnetization, μB per atom: 0.00

***

[2]
A plane-wave DFT calculation with PBE was carried out for a relaxed Cu crystal.

```
data_Cu
_chemical_formula_sum 'Cu12'
_space_group_name_H-M_alt 'I m -3 m'
_space_group_IT_number 229
_space_group_name_Hall '-I 4 2 3'
_cell_length_a 6.5719
_cell_length_b 6.5719
_cell_length_c 6.5719
_cell_angle_alpha 90.00
_cell_angle_beta 90.00
_cell_angle_gamma 90.00
loop_
_atom_site_label
_atom_site_type_symbol
_atom_site_fract_x
_atom_site_fract_y
_atom_site_fract_z
Cu1 Cu 0.0000 0.2500 0.5000
```

Values from the calculation:
Formation energy from the elements, eV/atom: 1.0224
Polymorph energy (0 for the lowest one), eV/atom: 1.022
Total magnetization, μB per atom: 0.00

***

[3]
A plane-wave DFT calculation with PBE was carried out for a relaxed SrCaCu2Ge2 crystal.

```
data_SrCaCu2Ge2
_chemical_formula_sum 'Sr1 Ca1 Cu2 Ge2'
_space_group_name_H-M_alt 'P -3 m 1'
_space_group_IT_number 164
_space_group_name_Hall '-P 3 2"'
_cell_length_a 4.1695
_cell_length_b 4.1695
_cell_length_c 8.9948
_cell_angle_alpha 90.00
_cell_angle_beta 90.00
_cell_angle_gamma 120.00
loop_
_atom_site_label
_atom_site_type_symbol
_atom_site_fract_x
_atom_site_fract_y
_atom_site_fract_z
Sr1 Sr 0.0000 0.0000 0.0000
Ca1 Ca 0.0000 0.0000 0.5000
Cu1 Cu 0.3333 0.6667 0.7352
Ge1 Ge 0.3333 0.6667 0.2595
```

Values from the calculation:
Formation energy from the elements, eV/atom: -0.4196
Total magnetization, μB per atom: 0.00

***

[4]
A plane-wave DFT calculation with PBE was carried out for a relaxed Sr6CdPd3 crystal.

```
data_Sr6CdPd3
_chemical_formula_sum 'Sr12 Cd2 Pd6'
_space_group_name_H-M_alt 'P 1 21/m 1'
_space_group_IT_number 11
_cell_length_a 11.1995
_cell_length_b 4.4356
_cell_length_c 15.3484
_cell_angle_alpha 90.00
_cell_angle_beta 109.86
_cell_angle_gamma 90.00
loop_
_space_group_symop_operation_xyz
'x,y,z'
'-x,-y,-z'
'-x,y+1/2,-z'
'x,-y+1/2,z'
loop_
_atom_site_label
_atom_site_type_symbol
_atom_site_fract_x
_atom_site_fract_y
_atom_site_fract_z
Sr1 Sr 0.0178 0.2500 0.1148
Sr2 Sr 0.0663 0.7500 0.4121
Sr3 Sr 0.2308 0.2500 0.8108
Sr4 Sr 0.3326 0.2500 0.5919
Sr5 Sr 0.3479 0.2500 0.3324
Sr6 Sr 0.3617 0.7500 0.0688
Cd1 Cd 0.4272 0.7500 0.7748
Pd1 Pd 0.1596 0.7500 0.6493
Pd2 Pd 0.1686 0.2500 0.9855
Pd3 Pd 0.4119 0.7500 0.4769
```

Values from the calculation:
Formation energy from the elements, eV/atom: -0.4214
Total magnetization, μB per atom: 0.00

***

[5]
A plane-wave DFT calculation with PBE was carried out for a relaxed YHo2C3 crystal.

```
data_YHo2C3
_chemical_formula_sum 'Y4 Ho8 C12'
_space_group_name_H-M_alt 'I m m a'
_space_group_IT_number 74
_space_group_name_Hall '-I 2b 2'
_cell_length_a 5.6748
_cell_length_b 10.0899
_cell_length_c 7.5697
_cell_angle_alpha 90.00
_cell_angle_beta 90.00
_cell_angle_gamma 90.00
loop_
_atom_site_label
_atom_site_type_symbol
_atom_site_fract_x
_atom_site_fract_y
_atom_site_fract_z
Y1 Y 0.0000 0.2500 0.0266
Ho1 Ho 0.0000 0.0737 0.6687
C1 C 0.1209 0.0000 0.0000
C2 C 0.2500 0.2500 0.7500
```

Values from the calculation:
Formation energy from the elements, eV/atom: -0.0757
Total magnetization, μB per atom: 0.00

***

[6]
A plane-wave DFT calculation with PBE was carried out for a relaxed NbAs2Ru crystal.

```
data_NbAs2Ru
_chemical_formula_sum 'Nb4 As8 Ru4'
_space_group_name_H-M_alt 'F m -3 m'
_space_group_IT_number 225
_space_group_name_Hall '-F 4 2 3'
_cell_length_a 6.2965
_cell_length_b 6.2965
_cell_length_c 6.2965
_cell_angle_alpha 90.00
_cell_angle_beta 90.00
_cell_angle_gamma 90.00
loop_
_atom_site_label
_atom_site_type_symbol
_atom_site_fract_x
_atom_site_fract_y
_atom_site_fract_z
Nb1 Nb 0.0000 0.0000 0.0000
As1 As 0.2500 0.2500 0.2500
Ru1 Ru 0.0000 0.0000 0.5000
```

Values from the calculation:
Formation energy from the elements, eV/atom: -0.1879
Polymorph energy (0 for the lowest one), eV/atom: 0.000
Total magnetization, μB per atom: 0.00

***

[7]
A plane-wave DFT calculation with PBE was carried out for a relaxed MnSi2Br crystal.

```
data_MnSi2Br
_chemical_formula_sum 'Mn3 Si6 Br3'
_space_group_name_H-M_alt 'R 3 m'
_space_group_IT_number 160
_space_group_name_Hall 'R 3 -2"'
_cell_length_a 3.7643
_cell_length_b 3.7643
_cell_length_c 21.3119
_cell_angle_alpha 90.00
_cell_angle_beta 90.00
_cell_angle_gamma 120.00
loop_
_atom_site_label
_atom_site_type_symbol
_atom_site_fract_x
_atom_site_fract_y
_atom_site_fract_z
Mn1 Mn 0.0000 0.0000 0.0000
Si1 Si 0.0000 0.0000 0.2595
Si2 Si 0.0000 0.0000 0.5530
Br1 Br 0.0000 0.0000 0.7408
```

Values from the calculation:
Polymorph energy (0 for the lowest one), eV/atom: 0.000
Energy relative to the elements, uncorrected, eV/f.u.: 0.17
Total magnetization, μB per atom: 1.04

***

[8]
A plane-wave DFT calculation with PBE was carried out for a relaxed MgZn2Ga8 crystal.

```
data_MgZn2Ga8
_chemical_formula_sum 'Mg2 Zn4 Ga16'
_space_group_name_H-M_alt 'C 1 2/m 1'
_space_group_IT_number 12
_cell_length_a 11.1515
_cell_length_b 8.4005
_cell_length_c 4.7694
_cell_angle_alpha 90.00
_cell_angle_beta 99.09
_cell_angle_gamma 90.00
loop_
_space_group_symop_operation_xyz
'x,y,z'
'-x,-y,-z'
'-x,y,-z'
'x,-y,z'
'x+1/2,y+1/2,z'
'-x+1/2,-y+1/2,-z'
'-x+1/2,y+1/2,-z'
'x+1/2,-y+1/2,z'
loop_
_atom_site_label
_atom_site_type_symbol
_atom_site_fract_x
_atom_site_fract_y
_atom_site_fract_z
Mg1 Mg 0.0000 0.0000 0.0000
Zn1 Zn 0.1345 0.0000 0.5659
Ga1 Ga 0.0704 0.2886 0.7764
Ga2 Ga 0.1186 0.5000 0.3083
Ga3 Ga 0.2486 0.5000 0.8689
```

Values from the calculation:
Formation energy from the elements, eV/atom: 0.0448
Polymorph energy (0 for the lowest one), eV/atom: 0.058
Total magnetization, μB per atom: 0.00

***

[9]
A plane-wave DFT calculation with PBE was carried out for a relaxed Ti4Re2Os crystal.

```
data_Ti4Re2Os
_chemical_formula_sum 'Ti8 Re4 Os2'
_space_group_name_H-M_alt 'I 4/m m m'
_space_group_IT_number 139
_space_group_name_Hall '-I 4 2'
_cell_length_a 6.1505
_cell_length_b 6.1505
_cell_length_c 6.1701
_cell_angle_alpha 90.00
_cell_angle_beta 90.00
_cell_angle_gamma 90.00
loop_
_atom_site_label
_atom_site_type_symbol
_atom_site_fract_x
_atom_site_fract_y
_atom_site_fract_z
Ti1 Ti 0.2500 0.2500 0.2500
Re1 Re 0.0000 0.5000 0.0000
Os1 Os 0.0000 0.0000 0.0000
```

Values from the calculation:
Formation energy from the elements, eV/atom: -0.2228
Total magnetization, μB per atom: 0.00

***

[10]
A plane-wave DFT calculation with PBE was carried out for a relaxed TbPa2MnC4 crystal.

```
data_TbPa2MnC4
_chemical_formula_sum 'Tb4 Pa8 Mn4 C16'
_space_group_name_H-M_alt 'C m c m'
_space_group_IT_number 63
_space_group_name_Hall '-C 2c 2'
_cell_length_a 3.5430
_cell_length_b 11.4610
_cell_length_c 11.9712
_cell_angle_alpha 90.00
_cell_angle_beta 90.00
_cell_angle_gamma 90.00
loop_
_atom_site_label
_atom_site_type_symbol
_atom_site_fract_x
_atom_site_fract_y
_atom_site_fract_z
Tb1 Tb 0.0000 0.1115 0.2500
Pa1 Pa 0.0000 0.3662 0.0477
Mn1 Mn 0.0000 0.1586 0.7500
C1 C 0.0000 0.0000 0.0000
C2 C 0.0000 0.2634 0.6306
C3 C 0.0000 0.4114 0.2500
```

Values from the calculation:
Formation energy from the elements, eV/atom: -0.1809
Total magnetization, μB per atom: 0.06

***

[11]
A plane-wave DFT calculation with PBE was carried out for a relaxed Y2Zn5Au crystal.

```
data_Y2Zn5Au
_chemical_formula_sum 'Y8 Zn20 Au4'
_space_group_name_H-M_alt 'C m c m'
_space_group_IT_number 63
_space_group_name_Hall '-C 2c 2'
_cell_length_a 4.2595
_cell_length_b 16.2124
_cell_length_c 8.9755
_cell_angle_alpha 90.00
_cell_angle_beta 90.00
_cell_angle_gamma 90.00
loop_
_atom_site_label
_atom_site_type_symbol
_atom_site_fract_x
_atom_site_fract_y
_atom_site_fract_z
Y1 Y 0.0000 0.0000 0.0000
Y2 Y 0.0000 0.1945 0.2500
Zn1 Zn 0.0000 0.1896 0.6074
Zn2 Zn 0.0000 0.3488 0.5214
Zn3 Zn 0.0000 0.3920 0.2500
Au1 Au 0.0000 0.4496 0.7500
```

Values from the calculation:
Formation energy from the elements, eV/atom: -0.4408
Total magnetization, μB per atom: 0.00

***

Calculated N(E_F) in order - 0.000 3.471 5.607 12.469 11.066 11.149 2.360 8.034 16.464 30.183 15.695 states/eV/cell
Calculated energy in order - -56.20 -36.89 -23.63 -61.60 -174.98 -117.58 -64.55 -55.73 -138.53 -284.54 -104.41 eV/cell
Calculated calculated volume in order - 30.2 23.7 22.6 35.9 18.1 15.6 21.8 20.1 16.7 15.2 19.4 Å³ per atom